Entry 1:
Below is a PBEsol-optimized structure of DyTmIr2, with properties calculated at the SCAN level.

## Properties
E_form (eV/atom): -1.058

Cell lengths 6.707, 6.707, 6.707 Å; angles 90.00, 90.00, 90.00 degrees
Space group Fm-3m (No. 225)
Unique sites:
Dy1 0.000 0.000 0.000 [4 per cell]
Tm1 0.000 0.000 0.500 [4 per cell]
Ir1 0.250 0.250 0.250 [8 per cell]

---

Entry 2:
Below is a PBEsol-optimized structure of LaSb3H, with properties calculated at the SCAN level.

## Properties
Final energy (eV per formula unit): -153.4

Cell lengths 6.015, 6.015, 6.015 Å; angles 90.00, 90.00, 90.00 degrees
Space group Pm-3m (No. 221)
Unique sites:
La1 0.000 0.000 0.000 [1 per cell]
Sb1 0.000 0.000 0.500 [3 per cell]
H1 0.500 0.500 0.500 [1 per cell]

---

In the order shown, the computed calculated volume values come out to 18.9, 43.5 A^3/atom.
In the order shown, the computed ρ values come out to 15.8, 3.9 g cm⁻³.